No. 1
The following is a DFT calculation (PBE) of a relaxed ThCdH6Ru2 crystal.

Geometry as CIF:
```
data_ThCdH6Ru2
_chemical_formula_sum 'Th3 Cd3 H18 Ru6'
_cell_length_a 4.7278
_cell_length_b 4.7278
_cell_length_c 15.5150
_cell_angle_alpha 90.00
_cell_angle_beta 90.00
_cell_angle_gamma 120.00
_space_group_name_H-M_alt 'R -3 m'
_space_group_IT_number 166
_space_group_name_Hall '-R 3 2"'
loop_
_atom_site_label
_atom_site_fract_x
_atom_site_fract_y
_atom_site_fract_z
_atom_site_occupancy
Th1 0.0000 0.0000 0.0000 1
Cd1 0.0000 0.0000 0.5000 1
H1 0.0328 0.5164 0.9447 1
Ru1 0.0000 0.0000 0.2056 1
```

The density of states at the Fermi level is 3.4 states/eV/f.u. As for the crystal system: trigonal. The value obtained for the raw total energy is -4.88 eV per atom.

=====

No. 2
The following is a DFT calculation (PBE) of a relaxed Zr2CdHRu crystal.

Geometry as CIF:
```
data_Zr2CdHRu
_chemical_formula_sum 'Zr2 Cd1 H1 Ru1'
_cell_length_a 4.543
_cell_length_b 4.543
_cell_length_c 3.877
_cell_angle_alpha 90.00
_cell_angle_beta 90.00
_cell_angle_gamma 90.00
_space_group_name_H-M_alt 'P 4/m m m'
_space_group_IT_number 123
_space_group_name_Hall '-P 4 2'
loop_
_atom_site_label
_atom_site_fract_x
_atom_site_fract_y
_atom_site_fract_z
_atom_site_occupancy
Zr1 0.000 0.500 0.000 1
Cd1 0.000 0.000 0.500 1
H1 0.500 0.500 0.000 1
Ru1 0.500 0.500 0.500 1
```

The density of states at the Fermi level is 2.6 states/eV/f.u. As for the crystal system: tetragonal. The value obtained for the raw total energy is -6.37 eV per atom.

=====

No. 3
The following is a DFT calculation (PBE) of a relaxed CdHS3 crystal.

Geometry as CIF:
```
data_CdHS3
_chemical_formula_sum 'Cd1 H1 S3'
_cell_length_a 5.192
_cell_length_b 5.192
_cell_length_c 5.192
_cell_angle_alpha 90.00
_cell_angle_beta 90.00
_cell_angle_gamma 90.00
_space_group_name_H-M_alt 'P m -3 m'
_space_group_IT_number 221
_space_group_name_Hall '-P 4 2 3'
loop_
_atom_site_label
_atom_site_fract_x
_atom_site_fract_y
_atom_site_fract_z
_atom_site_occupancy
Cd1 0.000 0.000 0.000 1
H1 0.500 0.500 0.500 1
S1 0.000 0.000 0.500 1
```

The density of states at the Fermi level is 3.6 states/eV/f.u. As for the crystal system: cubic. The value obtained for the energy above the lowest structure with this stoichiometry is 409 meV/atom. The value obtained for the raw total energy is -2.09 eV per atom.

=====

No. 4
The following is a DFT calculation (PBE) of a relaxed Cd3HS crystal.

Geometry as CIF:
```
data_Cd3HS
_chemical_formula_sum 'Cd3 H1 S1'
_cell_length_a 4.543
_cell_length_b 4.543
_cell_length_c 4.543
_cell_angle_alpha 90.00
_cell_angle_beta 90.00
_cell_angle_gamma 90.00
_space_group_name_H-M_alt 'P m -3 m'
_space_group_IT_number 221
_space_group_name_Hall '-P 4 2 3'
loop_
_atom_site_label
_atom_site_fract_x
_atom_site_fract_y
_atom_site_fract_z
_atom_site_occupancy
Cd1 0.000 0.000 0.500 1
H1 0.000 0.000 0.000 1
S1 0.500 0.500 0.500 1
```

The density of states at the Fermi level is 1.8 states/eV/f.u. As for the crystal system: cubic. The value obtained for the energy above the lowest structure with this stoichiometry is 0 meV/atom. The value obtained for the raw total energy is -1.74 eV per atom.

=====

No. 5
The following is a DFT calculation (PBE) of a relaxed CdH2S crystal.

Geometry as CIF:
```
data_CdH2S
_chemical_formula_sum 'Cd3 H6 S3'
_cell_length_a 3.1107
_cell_length_b 3.1107
_cell_length_c 19.4886
_cell_angle_alpha 90.00
_cell_angle_beta 90.00
_cell_angle_gamma 120.00
_space_group_name_H-M_alt 'R -3 m'
_space_group_IT_number 166
_space_group_name_Hall '-R 3 2"'
loop_
_atom_site_label
_atom_site_fract_x
_atom_site_fract_y
_atom_site_fract_z
_atom_site_occupancy
Cd1 0.0000 0.0000 0.0000 1
H1 0.0000 0.0000 0.1455 1
S1 0.0000 0.0000 0.5000 1
```

The density of states at the Fermi level is 0.3 states/eV/f.u. As for the crystal system: trigonal. The value obtained for the energy above the lowest structure with this stoichiometry is 711 meV/atom. The value obtained for the raw total energy is -2.44 eV per atom.

=====

No. 6
The following is a DFT calculation (PBE) of a relaxed CdH2S crystal.

Geometry as CIF:
```
data_CdH2S
_chemical_formula_sum 'Cd4 H8 S4'
_cell_length_a 5.461
_cell_length_b 5.461
_cell_length_c 7.691
_cell_angle_alpha 90.00
_cell_angle_beta 90.00
_cell_angle_gamma 90.00
_space_group_name_H-M_alt 'I 41/a m d'
_space_group_IT_number 141
loop_
_space_group_symop_operation_xyz
'x,y,z'
'-x,-y,-z'
'-y+1/4,x+3/4,z+1/4'
'y+1/4,-x+3/4,-z+1/4'
'-x+1/2,-y,z+1/2'
'x+1/2,y,-z+1/2'
'y+1/4,-x+1/4,z+3/4'
'-y+1/4,x+1/4,-z+3/4'
'x,-y,-z'
'-x,y,z'
'-y+1/4,-x+1/4,-z+3/4'
'y+1/4,x+1/4,z+3/4'
'-x+1/2,y,-z+1/2'
'x+1/2,-y,z+1/2'
'y+1/4,x+3/4,-z+1/4'
'-y+1/4,-x+3/4,z+1/4'
'x+1/2,y+1/2,z+1/2'
'-x+1/2,-y+1/2,-z+1/2'
'-y+3/4,x+1/4,z+3/4'
'y+3/4,-x+1/4,-z+3/4'
'-x,-y+1/2,z'
'x,y+1/2,-z'
'y+3/4,-x+3/4,z+1/4'
'-y+3/4,x+3/4,-z+1/4'
'x+1/2,-y+1/2,-z+1/2'
'-x+1/2,y+1/2,z+1/2'
'-y+3/4,-x+3/4,-z+1/4'
'y+3/4,x+3/4,z+1/4'
'-x,y+1/2,-z'
'x,-y+1/2,z'
'y+3/4,x+1/4,-z+3/4'
'-y+3/4,-x+1/4,z+3/4'
loop_
_atom_site_label
_atom_site_fract_x
_atom_site_fract_y
_atom_site_fract_z
_atom_site_occupancy
Cd1 0.000 0.250 0.375 1
H1 0.000 0.000 0.000 1
S1 0.000 0.250 0.875 1
```

The density of states at the Fermi level is 0.2 states/eV/f.u. As for the crystal system: tetragonal. The value obtained for the energy above the lowest structure with this stoichiometry is 398 meV/atom. The value obtained for the raw total energy is -2.75 eV per atom.

=====

No. 7
The following is a DFT calculation (PBE) of a relaxed CdH2S crystal.

Geometry as CIF:
```
data_CdH2S
_chemical_formula_sum 'Cd4 H8 S4'
_cell_length_a 5.669
_cell_length_b 5.669
_cell_length_c 5.669
_cell_angle_alpha 90.00
_cell_angle_beta 90.00
_cell_angle_gamma 90.00
_space_group_name_H-M_alt 'F m -3 m'
_space_group_IT_number 225
_space_group_name_Hall '-F 4 2 3'
loop_
_atom_site_label
_atom_site_fract_x
_atom_site_fract_y
_atom_site_fract_z
_atom_site_occupancy
Cd1 0.000 0.000 0.000 1
H1 0.250 0.250 0.250 1
S1 0.000 0.000 0.500 1
```

The density of states at the Fermi level is 1.2 states/eV/f.u. As for the crystal system: cubic. The value obtained for the energy above the lowest structure with this stoichiometry is 1002 meV/atom. The value obtained for the raw total energy is -2.15 eV per atom.

=====

No. 8
The following is a DFT calculation (PBE) of a relaxed CdHS3 crystal.

Geometry as CIF:
```
data_CdHS3
_chemical_formula_sum 'Cd1 H1 S3'
_cell_length_a 4.227
_cell_length_b 4.227
_cell_length_c 4.227
_cell_angle_alpha 90.00
_cell_angle_beta 90.00
_cell_angle_gamma 90.00
_space_group_name_H-M_alt 'P m -3 m'
_space_group_IT_number 221
_space_group_name_Hall '-P 4 2 3'
loop_
_atom_site_label
_atom_site_fract_x
_atom_site_fract_y
_atom_site_fract_z
_atom_site_occupancy
Cd1 0.000 0.000 0.000 1
H1 0.500 0.500 0.500 1
S1 0.000 0.500 0.500 1
```

The density of states at the Fermi level is 4.0 states/eV/f.u. As for the crystal system: cubic. The value obtained for the energy above the lowest structure with this stoichiometry is 0 meV/atom. The value obtained for the raw total energy is -2.50 eV per atom.

=====

No. 9
The following is a DFT calculation (PBE) of a relaxed CdH3S crystal.

Geometry as CIF:
```
data_CdH3S
_chemical_formula_sum 'Cd1 H3 S1'
_cell_length_a 3.739
_cell_length_b 3.739
_cell_length_c 3.739
_cell_angle_alpha 90.00
_cell_angle_beta 90.00
_cell_angle_gamma 90.00
_space_group_name_H-M_alt 'P m -3 m'
_space_group_IT_number 221
_space_group_name_Hall '-P 4 2 3'
loop_
_atom_site_label
_atom_site_fract_x
_atom_site_fract_y
_atom_site_fract_z
_atom_site_occupancy
Cd1 0.000 0.000 0.000 1
H1 0.000 0.500 0.500 1
S1 0.500 0.500 0.500 1
```

The density of states at the Fermi level is 1.1 states/eV/f.u. As for the crystal system: cubic. The value obtained for the energy above the lowest structure with this stoichiometry is 0 meV/atom. The value obtained for the raw total energy is -2.36 eV per atom.

=====

No. 10
The following is a DFT calculation (PBE) of a relaxed CdH3S crystal.

Geometry as CIF:
```
data_CdH3S
_chemical_formula_sum 'Cd1 H3 S1'
_cell_length_a 3.827
_cell_length_b 3.827
_cell_length_c 3.827
_cell_angle_alpha 90.00
_cell_angle_beta 90.00
_cell_angle_gamma 90.00
_space_group_name_H-M_alt 'P m -3 m'
_space_group_IT_number 221
_space_group_name_Hall '-P 4 2 3'
loop_
_atom_site_label
_atom_site_fract_x
_atom_site_fract_y
_atom_site_fract_z
_atom_site_occupancy
Cd1 0.000 0.000 0.000 1
H1 0.000 0.000 0.500 1
S1 0.500 0.500 0.500 1
```

The density of states at the Fermi level is 2.7 states/eV/f.u. As for the crystal system: cubic. The value obtained for the energy above the lowest structure with this stoichiometry is 296 meV/atom. The value obtained for the raw total energy is -2.07 eV per atom.

=====

No. 11
The following is a DFT calculation (PBE) of a relaxed CdH2S crystal.

Geometry as CIF:
```
data_CdH2S
_chemical_formula_sum 'Cd1 H2 S1'
_cell_length_a 4.231
_cell_length_b 5.972
_cell_length_c 4.231
_cell_angle_alpha 90.00
_cell_angle_beta 119.38
_cell_angle_gamma 90.00
_space_group_name_H-M_alt 'P 1 m 1'
_space_group_IT_number 6
_space_group_name_Hall 'P -2y'
loop_
_atom_site_label
_atom_site_fract_x
_atom_site_fract_y
_atom_site_fract_z
_atom_site_occupancy
Cd1 0.000 0.000 0.000 1
H1 0.772 0.500 0.054 1
H2 0.948 0.500 0.231 1
S1 0.335 0.000 0.664 1
```

The density of states at the Fermi level is 0.0 states/eV/f.u. As for the crystal system: monoclinic. The value obtained for the energy above the lowest structure with this stoichiometry is 0 meV/atom. The value obtained for the raw total energy is -3.15 eV per atom.

=====

No. 12
The following is a DFT calculation (PBE) of a relaxed CdSbH2S crystal.

Geometry as CIF:
```
data_CdSbH2S
_chemical_formula_sum 'Cd1 Sb1 H2 S1'
_cell_length_a 3.991
_cell_length_b 3.991
_cell_length_c 5.628
_cell_angle_alpha 90.00
_cell_angle_beta 90.00
_cell_angle_gamma 90.00
_space_group_name_H-M_alt 'P 4/m m m'
_space_group_IT_number 123
_space_group_name_Hall '-P 4 2'
loop_
_atom_site_label
_atom_site_fract_x
_atom_site_fract_y
_atom_site_fract_z
_atom_site_occupancy
Cd1 0.000 0.000 0.000 1
Sb1 0.500 0.500 0.000 1
H1 0.000 0.500 0.500 1
S1 0.500 0.500 0.500 1
```

The density of states at the Fermi level is 2.0 states/eV/f.u. As for the crystal system: tetragonal. The value obtained for the raw total energy is -2.68 eV per atom.

=====

No. 13
The following is a DFT calculation (PBE) of a relaxed Sc2CdHS crystal.

Geometry as CIF:
```
data_Sc2CdHS
_chemical_formula_sum 'Sc2 Cd1 H1 S1'
_cell_length_a 5.129
_cell_length_b 5.129
_cell_length_c 3.421
_cell_angle_alpha 90.00
_cell_angle_beta 90.00
_cell_angle_gamma 90.00
_space_group_name_H-M_alt 'P 4/m m m'
_space_group_IT_number 123
_space_group_name_Hall '-P 4 2'
loop_
_atom_site_label
_atom_site_fract_x
_atom_site_fract_y
_atom_site_fract_z
_atom_site_occupancy
Sc1 0.000 0.500 0.000 1
Cd1 0.000 0.000 0.500 1
H1 0.500 0.500 0.500 1
S1 0.500 0.500 0.000 1
```

The density of states at the Fermi level is 4.4 states/eV/f.u. As for the crystal system: tetragonal. The value obtained for the raw total energy is -4.57 eV per atom.